(1)
This record from Alexandria via LeMat-Bulk describes a geometry-optimized HfCuB structure. The functional is PBE.

It has space group Cm (No. 8), with a = 9.2539 Å, b = 3.1739 Å, c = 5.2659 Å, α = 90.00°, β = 90.09° and γ = 90.00°. The distinct sites, in fractional coordinates, are Hf at (0.0000, 0.0000, 0.0000), Hf at (0.0962, 0.5000, 0.4923), Cu at (0.2838, 0.0000, 0.7780), Cu at (0.3732, 0.5000, 0.4517), B at (0.2097, 0.5000, 0.0591) and B at (0.2669, 0.0000, 0.1787).

The calculation puts the calculated total energy at -7.087 eV per atom. The theoretical density comes out at 10.86 g/cm³. The calculation puts the density of states at the Fermi level at 0.6085 states/eV per atom. For the total magnetic moment, the calculation gives 0.0 μB/f.u. The calculated volume is 38.7 Å³/f.u.

(2)
This record from Alexandria via LeMat-Bulk describes a geometry-optimized HfCuB structure. The functional is PBE.

It has space group Imm2 (No. 44), with a = 3.1721 Å, b = 3.8010 Å, c = 13.2261 Å, α = 90.00°, β = 90.00° and γ = 90.00°. The distinct sites, in fractional coordinates, are Hf at (0.0000, 0.0000, 0.0000), Hf at (0.0000, 0.0000, 0.2387), Cu at (0.0000, 0.0000, 0.6146), Cu at (0.0000, 0.0000, 0.8038), B at (0.0000, 0.0000, 0.4439) and B at (0.0000, 0.5000, 0.8826).

The calculation puts the calculated total energy at -7.156 eV per atom. The theoretical density comes out at 10.53 g/cm³. The calculation puts the density of states at the Fermi level at 0.5432 states/eV per atom. For the total magnetic moment, the calculation gives 0.0 μB/f.u. The calculated volume is 39.9 Å³/f.u.

(3)
This record from Alexandria via LeMat-Bulk describes a geometry-optimized HfCuB structure. The functional is PBE.

It has space group C2/m (No. 12), with a = 8.1841 Å, b = 3.3409 Å, c = 6.1892 Å, α = 90.00°, β = 100.96° and γ = 90.00°. The distinct sites, in fractional coordinates, are Hf at (0.1157, 0.0000, 0.3091), Cu at (0.1349, 0.5000, 0.9313) and B at (0.0890, 0.5000, 0.5815).

The calculation puts the calculated total energy at -7.184 eV per atom. The theoretical density comes out at 10.11 g/cm³. The calculation puts the density of states at the Fermi level at 0.3735 states/eV per atom. For the total magnetic moment, the calculation gives 0.0 μB/f.u. The calculated volume is 41.5 Å³/f.u.

(4)
This record from Alexandria via LeMat-Bulk describes a geometry-optimized HfCuB structure. The functional is PBE.

It has space group P4/nmm (No. 129, origin choice 2), with a = 3.7366 Å, b = 3.7366 Å, c = 5.6765 Å, α = 90.00°, β = 90.00° and γ = 90.00°. The distinct sites, in fractional coordinates, are Hf at (0.2500, 0.2500, 0.1945), Cu at (0.2500, 0.2500, 0.6874) and B at (0.2500, 0.7500, 0.5000).

The calculation puts the calculated total energy at -6.957 eV per atom. The theoretical density comes out at 10.60 g/cm³. The calculation puts the density of states at the Fermi level at 0.5272 states/eV per atom. For the total magnetic moment, the calculation gives 0.0 μB/f.u. The calculated volume is 39.6 Å³/f.u.